No. 1
Here is an optimized crystal structure of FeCo4Mo from the Alexandria database. Energies are from PBE.

a b c (Å): 4.0016 4.0016 5.0007
angles (deg): 90.00 90.00 120.00
Last column: nearest neighbours and their distance in Å.
Sites, in units of the cell vectors:
Fe 0.0000 0.0000 0.0000  2 Mo 2.50, 12 Co 2.60
Co 0.3333 0.6667 0.2382  4 Co 2.31-2.38
Co 0.3333 0.6667 0.7618  4 Co 2.31-2.38
Co 0.6667 0.3333 0.2382  4 Co 2.31-2.38
Co 0.6667 0.3333 0.7618  4 Co 2.31-2.38
Mo 0.0000 0.0000 0.5000  2 Fe 2.50, 12 Co 2.66

The calculated formation energy is 0.7 eV per formula unit. As for the total magnetization: 5.1 μB/f.u. The calculation puts the energy at -0.2881 Ha/atom. The energy relative to the lowest polymorph listed for this composition is 41 meV per atom.

---

No. 2
Here is an optimized crystal structure of Fe2CoMo from the Alexandria database. Energies are from PBE.

a b c (Å): 2.8409 2.8409 6.1571
angles (deg): 90.00 90.00 90.00
Last column: nearest neighbours and their distance in Å.
Sites, in units of the cell vectors:
Fe 0.0000 0.0000 0.0000  4 Co 2.45, 4 Fe 2.45
Fe 0.5000 0.5000 0.2277  4 Fe 2.45, 4 Mo 2.60
Co 0.5000 0.5000 0.7729  4 Fe 2.45, 4 Mo 2.63
Mo 0.0000 0.0000 0.4962  4 Fe 2.60, 4 Co 2.63, 4 Mo 2.84

The calculated formation energy is 0.2 eV per formula unit. As for the total magnetization: 5.8 μB/f.u. The calculation puts the energy at -0.3181 Ha/atom.

---

No. 3
Here is an optimized crystal structure of Fe2CoMo from the Alexandria database. Energies are from PBE.

a b c (Å): 2.8875 2.8875 6.0346
angles (deg): 90.00 90.00 90.00
Last column: nearest neighbours and their distance in Å.
Sites, in units of the cell vectors:
Fe 0.0000 0.0000 0.2286  4 Co 2.46, 4 Mo 2.62, 1 Fe 2.76
Fe 0.0000 0.0000 0.7714  4 Co 2.46, 4 Mo 2.62, 1 Fe 2.76
Co 0.5000 0.5000 0.0000  8 Fe 2.46
Mo 0.5000 0.5000 0.5000  8 Fe 2.62, 4 Mo 2.89

The calculated formation energy is 0.3 eV per formula unit. As for the total magnetization: 6.2 μB/f.u. The calculation puts the energy at -0.3173 Ha/atom.

---

No. 4
Here is an optimized crystal structure of Fe2CoMo from the Alexandria database. Energies are from PBE.

a b c (Å): 4.5208 4.5208 4.4149
angles (deg): 100.91 100.91 33.85
Last column: nearest neighbours and their distance in Å.
Sites, in units of the cell vectors:
Fe 0.2394 0.2394 0.2355  6 Fe 2.50-2.66, 3 Co 2.50-2.66, 3 Mo 2.57-2.67
Fe 0.7606 0.7606 0.7645  6 Fe 2.50-2.66, 3 Co 2.50-2.66, 3 Mo 2.57-2.67
Co 0.5000 0.5000 0.0000  6 Fe 2.50-2.66, 4 Mo 2.57, 2 Co 2.63
Mo 0.0000 0.0000 0.5000  4 Co 2.57, 6 Fe 2.57-2.67, 2 Mo 2.63

The calculated formation energy is 0.6 eV per formula unit. As for the total magnetization: 4.7 μB/f.u. The calculation puts the energy at -0.3151 Ha/atom.

---

No. 5
Here is an optimized crystal structure of Fe2CoMo from the Alexandria database. Energies are from PBE.

a b c (Å): 4.4490 4.4490 2.6230
angles (deg): 90.00 90.00 109.59
Last column: nearest neighbours and their distance in Å.
Sites, in units of the cell vectors:
Fe 0.0000 0.5000 0.0000  4 Fe 2.56-2.62, 4 Co 2.58, 4 Mo 2.58
Fe 0.5000 0.0000 0.0000  4 Fe 2.56-2.62, 4 Co 2.58, 4 Mo 2.58
Co 0.0000 0.0000 0.5000  2 Mo 2.56, 8 Fe 2.58, 2 Co 2.62
Mo 0.5000 0.5000 0.5000  2 Co 2.56, 8 Fe 2.58, 2 Mo 2.62

The calculated formation energy is 0.8 eV per formula unit. As for the total magnetization: 3.8 μB/f.u. The calculation puts the energy at -0.3131 Ha/atom.

---

No. 6
Here is an optimized crystal structure of FeCoMo3 from the Alexandria database. Energies are from PBE.

a b c (Å): 4.3904 4.3904 4.3904
angles (deg): 90.00 90.00 90.00
Last column: nearest neighbours and their distance in Å.
Sites, in units of the cell vectors:
Fe 0.0000 0.0000 0.0000  6 Mo 2.20
Co 0.5000 0.5000 0.5000  12 Mo 3.10
Mo 0.0000 0.0000 0.5000  2 Fe 2.20
Mo 0.0000 0.5000 0.0000  2 Fe 2.20
Mo 0.5000 0.0000 0.0000  2 Fe 2.20

The calculated formation energy is 6.9 eV per formula unit. As for the total magnetization: 0.0 μB/f.u. The calculation puts the energy at -0.3029 Ha/atom. The energy relative to the lowest polymorph listed for this composition is 0 meV per atom.

---

No. 7
Here is an optimized crystal structure of Fe2CoMo from the Alexandria database. Energies are from PBE.

a b c (Å): 4.7789 4.7789 4.7789
angles (deg): 143.08 130.19 63.59
Last column: nearest neighbours and their distance in Å.
Sites, in units of the cell vectors:
Fe 0.0000 0.0000 0.0000  2 Fe 2.46, 4 Co 2.52, 2 Mo 2.54
Fe 0.7608 0.2608 0.5000  2 Fe 2.46, 4 Mo 2.52, 2 Co 2.53
Co 0.5106 0.5106 0.0000  6 Fe 2.52-2.53, 4 Mo 2.59-2.81
Mo 0.2513 0.7513 0.5000  6 Fe 2.52-2.54, 4 Co 2.59-2.81

The calculated formation energy is 0.4 eV per formula unit. As for the total magnetization: 4.9 μB/f.u. The calculation puts the energy at -0.3163 Ha/atom.

---

No. 8
Here is an optimized crystal structure of Fe4CoMo from the Alexandria database. Energies are from PBE.

a b c (Å): 4.6424 4.6424 4.6424
angles (deg): 60.00 60.00 60.00
Last column: nearest neighbours and their distance in Å.
Sites, in units of the cell vectors:
Fe 0.3756 0.3756 0.3756  6 Fe 2.31-2.33
Fe 0.3756 0.3756 0.8732  6 Fe 2.31-2.33
Fe 0.3756 0.8732 0.3756  6 Fe 2.31-2.33
Fe 0.8732 0.3756 0.3756  6 Fe 2.31-2.33
Co 0.7500 0.7500 0.7500  12 Fe 2.72, 4 Mo 2.84
Mo 0.0000 0.0000 0.0000  12 Fe 2.72, 4 Co 2.84

The calculated formation energy is 0.4 eV per formula unit. As for the total magnetization: 6.6 μB/f.u. The calculation puts the energy at -0.3149 Ha/atom.

---

No. 9
Here is an optimized crystal structure of Fe2CoMo from the Alexandria database. Energies are from PBE.

a b c (Å): 4.4655 4.4655 4.4655
angles (deg): 132.07 132.07 70.13
Last column: nearest neighbours and their distance in Å.
Sites, in units of the cell vectors:
Fe 0.0000 0.0000 0.0000  4 Co 2.57, 4 Fe 2.57, 4 Mo 2.57
Fe 0.7500 0.2500 0.5000  4 Mo 2.57, 4 Fe 2.57, 4 Co 2.57
Co 0.5000 0.5000 0.0000  8 Fe 2.57, 4 Mo 2.57
Mo 0.2500 0.7500 0.5000  8 Fe 2.57, 4 Co 2.57

The calculated formation energy is 0.3 eV per formula unit. As for the total magnetization: 3.3 μB/f.u. The calculation puts the energy at -0.3176 Ha/atom.

---

No. 10
Here is an optimized crystal structure of Fe2CoMo from the Alexandria database. Energies are from PBE.

a b c (Å): 8.6611 8.6611 8.6611
angles (deg): 156.68 156.68 33.22
Last column: nearest neighbours and their distance in Å.
Sites, in units of the cell vectors:
Fe 0.0685 0.6250 0.9435  2 Fe 2.21, 2 Co 2.35
Fe 0.3750 0.3185 0.4435  2 Fe 2.21, 2 Co 2.35
Fe 0.6815 0.1250 0.0565  2 Fe 2.21, 2 Co 2.35
Fe 0.8750 0.9315 0.5565  2 Fe 2.21, 2 Co 2.35
Co 0.0000 0.0000 0.0000  4 Fe 2.35, 4 Mo 2.48
Co 0.7500 0.2500 0.5000  4 Fe 2.35, 4 Mo 2.48
Mo 0.2500 0.7500 0.5000  4 Co 2.48, 4 Fe 2.49
Mo 0.5000 0.5000 0.0000  4 Co 2.48, 4 Fe 2.49

The calculated formation energy is 2.4 eV per formula unit. As for the total magnetization: 0.0 μB/f.u. The calculation puts the energy at -0.2982 Ha/atom.

---

No. 11
Here is an optimized crystal structure of Fe2CoMo from the Alexandria database. Energies are from PBE.

a b c (Å): 2.5678 2.5678 8.1248
angles (deg): 90.00 90.00 107.35
Last column: nearest neighbours and their distance in Å.
Sites, in units of the cell vectors:
Fe 0.0000 0.0000 0.2341  2 Co 2.44, 4 Fe 2.57, 2 Mo 2.64
Fe 0.0000 0.0000 0.7659  2 Co 2.44, 4 Fe 2.57, 2 Mo 2.64
Co 0.5000 0.5000 0.0000  4 Fe 2.44, 4 Co 2.57
Mo 0.5000 0.5000 0.5000  4 Mo 2.57, 4 Fe 2.64

The calculated formation energy is 0.4 eV per formula unit. As for the total magnetization: 6.6 μB/f.u. The calculation puts the energy at -0.3167 Ha/atom.

---

No. 12
Here is an optimized crystal structure of FeCo2Mo2 from the Alexandria database. Energies are from PBE.

a b c (Å): 6.5023 6.5023 3.0463
angles (deg): 90.00 90.00 90.00
Last column: nearest neighbours and their distance in Å.
Sites, in units of the cell vectors:
Fe 0.0000 0.0000 0.0000  4 Co 2.56, 8 Mo 2.84
Fe 0.5000 0.5000 0.0000  4 Co 2.56, 8 Mo 2.84
Co 0.1271 0.3729 0.0000  1 Co 2.34, 6 Mo 2.35-2.52, 2 Fe 2.56
Co 0.3729 0.8729 0.0000  1 Co 2.34, 6 Mo 2.35-2.52, 2 Fe 2.56
Co 0.6271 0.1271 0.0000  1 Co 2.34, 6 Mo 2.35-2.52, 2 Fe 2.56
Co 0.8729 0.6271 0.0000  1 Co 2.34, 6 Mo 2.35-2.52, 2 Fe 2.56
Mo 0.1781 0.6781 0.5000  6 Co 2.35-2.52
Mo 0.3219 0.1781 0.5000  6 Co 2.35-2.52
Mo 0.6781 0.8219 0.5000  6 Co 2.35-2.52
Mo 0.8219 0.3219 0.5000  6 Co 2.35-2.52

The calculated formation energy is 1.2 eV per formula unit. As for the total magnetization: 0.0 μB/f.u. The calculation puts the energy at -0.3172 Ha/atom.